Version w
Below is an optimized crystal structure of TbNd2Y5, with properties calculated at the PBE level.

## Properties
Symmetry ... No. 15
N(E_F) ... 33.81 states/eV per cell
ρ ... 5460 kg/m3

a b c (Å): 10.217 10.217 11.519
angles (deg): 55.60 55.60 100.99
Fractional coordinates of all 16 atoms:
Y 0.898 0.101 0.563
Y 0.301 0.696 0.911
Nd 0.500 0.500 0.500
Y 0.699 0.304 0.089
Y 0.463 0.537 0.250
Y 0.899 0.102 0.937
Y 0.102 0.899 0.437
Y 0.537 0.463 0.750
Y 0.101 0.898 0.063
Nd 0.500 0.500 0.000
Y 0.304 0.699 0.589
Y 0.696 0.301 0.411
Tb 0.103 0.897 0.750
Nd 0.000 0.500 0.500
Nd 0.500 0.000 0.000
Tb 0.897 0.103 0.250


Version x
Below is an optimized crystal structure of TbNd2Y5, with properties calculated at the PBE level.

## Properties
Symmetry ... No. 55
N(E_F) ... 23.69 states/eV per cell
ρ ... 5628 kg/m3

a b c (Å): 5.082 7.195 14.393
angles (deg): 90.00 90.00 90.00
Fractional coordinates of all 16 atoms:
Y 0.000 0.500 0.500
Y 0.500 0.251 0.875
Nd 0.500 0.249 0.625
Nd 0.500 0.751 0.375
Tb 0.000 0.500 0.000
Tb 0.000 0.000 0.500
Y 0.000 0.000 0.250
Nd 0.500 0.251 0.125
Y 0.000 0.500 0.250
Nd 0.500 0.749 0.875
Y 0.000 0.000 0.000
Y 0.500 0.751 0.625
Y 0.000 0.000 0.750
Y 0.500 0.249 0.375
Y 0.500 0.749 0.125
Y 0.000 0.500 0.750


Most stable structure - version x; separation to the second - 0.250 eV/atom.


Version w
Below is an optimized crystal structure of Tb2NdY7, with properties calculated at the PBE level.

## Properties
Symmetry ... No. 65
N(E_F) ... 20.98 states/eV per cell
ρ ... 5422 kg/m3

a b c (Å): 3.458 15.136 15.136
angles (deg): 155.22 90.00 90.00
Fractional coordinates of all 10 atoms:
Tb 0.500 0.793 0.207
Tb 0.500 0.207 0.793
Nd 0.000 0.000 0.000
Y 0.000 0.310 0.690
Y 0.000 0.690 0.310
Y 0.500 0.347 0.146
Y 0.500 0.146 0.347
Y 0.500 0.854 0.653
Y 0.500 0.653 0.854
Y 0.500 0.500 0.500


Version x
Below is an optimized crystal structure of Tb2NdY7, with properties calculated at the PBE level.

## Properties
Symmetry ... No. 65
N(E_F) ... 13.88 states/eV per cell
ρ ... 4507 kg/m3

a b c (Å): 5.661 9.132 9.132
angles (deg): 122.18 90.00 90.00
Fractional coordinates of all 10 atoms:
Y 0.000 0.223 0.777
Y 0.500 0.061 0.294
Y 0.000 0.777 0.223
Y 0.500 0.939 0.706
Tb 0.500 0.703 0.297
Tb 0.500 0.297 0.703
Y 0.500 0.294 0.061
Y 0.500 0.500 0.500
Nd 0.000 0.000 0.000
Y 0.500 0.706 0.939


Most stable structure - version w; separation to the second - 0.478 eV/atom.


Version w
Below is an optimized crystal structure of Tb4Nd3Y5, with properties calculated at the PBE level.

## Properties
Symmetry ... No. 2
N(E_F) ... 16.12 states/eV per cell
ρ ... 6380 kg/m3

a b c (Å): 7.189 11.368 12.956
angles (deg): 151.30 56.40 129.24
Fractional coordinates of all 12 atoms:
Tb 0.834 0.668 0.834
Tb 0.081 0.165 0.332
Y 0.749 0.501 0.001
Y 0.667 0.333 0.166
Nd 0.000 0.000 0.500
Y 0.333 0.667 0.834
Y 0.500 0.000 0.500
Nd 0.585 0.168 0.334
Tb 0.166 0.332 0.166
Nd 0.415 0.832 0.666
Tb 0.919 0.835 0.668
Y 0.251 0.499 0.999


Version x
Below is an optimized crystal structure of Tb4Nd3Y5, with properties calculated at the PBE level.

## Properties
Symmetry ... No. 12
N(E_F) ... 19.20 states/eV per cell
ρ ... 6241 kg/m3

a b c (Å): 5.959 8.608 9.723
angles (deg): 106.03 72.16 69.75
Last column: magnetic moment on the atom in μB.
Fractional coordinates of all 12 atoms:
Tb 0.140 0.778 0.943  0.00
Tb 0.832 0.957 0.378  0.00
Y 0.216 0.456 0.112  0.00
Nd 0.479 0.313 0.730  0.00
Nd 0.521 0.687 0.270  0.00
Nd 0.000 0.500 0.500  0.08
Tb 0.860 0.222 0.057  0.00
Y 0.500 0.500 0.500  0.08
Y 0.784 0.544 0.888  0.00
Y 0.374 0.052 0.200  0.00
Tb 0.168 0.043 0.622  0.00
Y 0.626 0.948 0.800  0.00


Most stable structure - version w; separation to the second - 0.212 eV/atom.


Version w
Below is an optimized crystal structure of TbNd2Y, with properties calculated at the PBE level.

## Properties
Symmetry ... No. 160
N(E_F) ... 5.83 states/eV per cell
ρ ... 6605 kg/m3

a b c (Å): 3.641 3.641 11.930
angles (deg): 81.22 81.22 59.99
Fractional coordinates of all 4 atoms:
Tb 0.667 0.667 0.998
Nd 0.083 0.083 0.750
Y 0.500 0.500 0.500
Nd 0.250 0.250 0.251


Version x
Below is an optimized crystal structure of TbNd2Y, with properties calculated at the PBE level.

## Properties
Symmetry ... No. 225
N(E_F) ... 8.05 states/eV per cell
ρ ... 6573 kg/m3

a b c (Å): 5.765 5.765 5.765
angles (deg): 60.00 60.00 60.00
Fractional coordinates of all 4 atoms:
Nd 0.250 0.250 0.250
Nd 0.750 0.750 0.750
Tb 0.500 0.500 0.500
Y 0.000 0.000 0.000


Version y
Below is an optimized crystal structure of TbNd2Y, with properties calculated at the PBE level.

## Properties
Symmetry ... No. 59
N(E_F) ... 29.10 states/eV per cell
ρ ... 6523 kg/m3

a b c (Å): 5.826 12.705 7.377
angles (deg): 90.00 90.00 90.00
Fractional coordinates of all 16 atoms:
Tb 0.443 0.833 0.250
Nd 0.943 0.916 0.500
Nd 0.443 0.584 0.500
Y 0.443 0.332 0.750
Tb 0.943 0.667 0.750
Tb 0.943 0.167 0.750
Nd 0.443 0.584 0.000
Nd 0.443 0.084 0.000
Nd 0.943 0.916 0.000
Nd 0.443 0.084 0.500
Nd 0.943 0.416 0.000
Y 0.943 0.168 0.250
Tb 0.443 0.333 0.250
Y 0.943 0.668 0.250
Nd 0.943 0.416 0.500
Y 0.443 0.832 0.750


Version z
Below is an optimized crystal structure of TbNd2Y, with properties calculated at the PBE level.

## Properties
Symmetry ... No. 166
N(E_F) ... 7.91 states/eV per cell
ρ ... 6520 kg/m3

a b c (Å): 3.542 3.542 12.734
angles (deg): 82.00 82.00 60.00
Fractional coordinates of all 4 atoms:
Tb 0.000 0.000 0.000
Nd 0.088 0.088 0.735
Y 0.500 0.500 0.500
Nd 0.912 0.912 0.265


Most stable structure - version w; separation to the second - 0.010 eV/atom.